# 1
Density functional theory data (SCAN) for a PBEsol-optimized structure of SbTe2Au.

Unit cell a=3.9630 b=5.5866 c=5.9717 alpha=117.89 beta=109.38 gamma=90.00
Fractional positions:
1 Te 0.8235 0.3235 0.6469
2 Te 0.9548 0.9548 0.9096
3 Au 0.5175 0.5175 0.0350
4 Sb 0.2042 0.7042 0.4085

- Crystal system: orthorhombic
- Size of the total moment: 0.0 μB per cell
- Formation energy from raw total energies: 0.145 eV/atom

***

# 2
Density functional theory data (SCAN) for a PBEsol-optimized structure of BaCa2TaW.

Unit cell a=5.2059 b=5.3117 c=5.3117 alpha=90.00 beta=90.00 gamma=90.00
Fractional positions:
1 Ta 0.5000 0.0000 0.0000
2 Ba 0.0000 0.0000 0.0000
3 W 0.5000 0.5000 0.5000
4 Ca 0.0000 0.0000 0.5000
5 Ca 0.0000 0.5000 0.0000

- Crystal system: tetragonal
- Size of the total moment: 3.0 μB per cell
- Final energy: -36.444 eV per atom

***

# 3
Density functional theory data (SCAN) for a PBEsol-optimized structure of Ca2LaAl.

Unit cell a=6.6154 b=7.1549 c=7.1549 alpha=77.66 beta=62.46 gamma=62.46
Fractional positions:
1 Ca 0.1725 0.4525 0.9525
2 Ca 0.5775 0.5475 0.0475
3 Ca 0.3750 0.0475 0.4525
4 Ca 0.8750 0.9525 0.5475
5 La 0.7500 0.5000 0.5000
6 La 0.0000 0.0000 0.0000
7 Al 0.5000 0.0000 0.0000
8 Al 0.2500 0.5000 0.5000

- Crystal system: tetragonal
- Size of the total moment: 3.5 μB per cell
- Final energy: -17.387 eV per atom

***

# 4
Density functional theory data (SCAN) for a PBEsol-optimized structure of ScAlW2.

Unit cell a=3.8442 b=3.8442 c=5.2303 alpha=111.56 beta=111.56 gamma=90.00
Fractional positions:
1 W 0.2500 0.7500 0.5000
2 W 0.7500 0.2500 0.5000
3 Sc 0.0000 0.0000 0.0000
4 Al 0.5000 0.5000 0.0000

- Crystal system: tetragonal
- Size of the total moment: 0.0 μB per cell
- Final energy: -40.225 eV per atom

***

# 5
Density functional theory data (SCAN) for a PBEsol-optimized structure of TlTeIr.

Unit cell a=4.5797 b=4.5797 c=4.5797 alpha=60.00 beta=60.00 gamma=60.00
Fractional positions:
1 Tl 0.5000 0.5000 0.5000
2 Te 0.0000 0.0000 0.0000
3 Ir 0.7500 0.7500 0.7500

- Crystal system: cubic
- Size of the total moment: 0.0 μB per cell
- Formation energy from raw total energies: 0.181 eV/atom

***

# 6
Density functional theory data (SCAN) for a PBEsol-optimized structure of Tb5Mg.

Unit cell a=6.0437 b=6.0437 c=6.4966 alpha=62.28 beta=62.28 gamma=60.00
Fractional positions:
1 Tb 0.6552 0.0000 0.0000
2 Tb 0.3448 0.6552 0.0000
3 Tb 0.8338 0.8338 0.4985
4 Tb 0.0000 0.3448 0.0000
5 Tb 0.1662 0.1662 0.5015
6 Mg 0.5000 0.5000 0.5000

- Energy above the lowest structure with this stoichiometry: 0.000 eV/atom
- Crystal system: trigonal
- Size of the total moment: 0.0 μB per cell

***

# 7
Density functional theory data (SCAN) for a PBEsol-optimized structure of MgCr3Ru.

Unit cell a=4.2614 b=4.2614 c=4.2614 alpha=90.00 beta=90.00 gamma=90.00
Fractional positions:
1 Cr 0.5000 0.0000 0.0000
2 Cr 0.0000 0.5000 0.0000
3 Cr 0.0000 0.0000 0.5000
4 Mg 0.0000 0.0000 0.0000
5 Ru 0.5000 0.5000 0.5000

- Crystal system: cubic
- Size of the total moment: 7.9 μB per cell
- Final energy: -16.838 eV per atom

***

# 8
Density functional theory data (SCAN) for a PBEsol-optimized structure of TlFeF3.

Unit cell a=4.5187 b=4.5187 c=4.5187 alpha=90.00 beta=90.00 gamma=90.00
Fractional positions:
1 F 0.0000 0.0000 0.5000
2 F 0.5000 0.0000 0.0000
3 F 0.0000 0.5000 0.0000
4 Tl 0.0000 0.0000 0.0000
5 Fe 0.5000 0.5000 0.5000

- Crystal system: cubic
- Size of the total moment: 3.3 μB per cell
- Formation energy from raw total energies: -0.884 eV/atom

***

# 9
Density functional theory data (SCAN) for a PBEsol-optimized structure of KTlCl2.

Unit cell a=4.0051 b=4.0402 c=7.9872 alpha=104.65 beta=104.52 gamma=90.00
Fractional positions:
1 Tl 0.2052 0.7052 0.4104
2 Cl 0.7962 0.2962 0.5925
3 Cl 0.0407 0.0407 0.0814
4 K 0.4579 0.4579 0.9157

- Energy above the lowest structure with this stoichiometry: 0.044 eV/atom
- Crystal system: orthorhombic
- Size of the total moment: 0.0 μB per cell
- Formation energy from raw total energies: -1.585 eV/atom

***

# 10
Density functional theory data (SCAN) for a PBEsol-optimized structure of Ca5Ge3H.

Unit cell a=7.6523 b=7.6523 c=8.9576 alpha=115.29 beta=115.29 gamma=90.00
Fractional positions:
1 Ge 0.3828 0.1172 0.0000
2 Ge 0.7500 0.7500 0.5000
3 Ge 0.1172 0.6172 0.0000
4 Ge 0.8828 0.3828 0.0000
5 Ge 0.6172 0.8828 0.0000
6 Ge 0.2500 0.2500 0.5000
7 Ca 0.8165 0.3165 0.2988
8 Ca 0.5177 0.0177 0.7012
9 Ca 0.0177 0.1835 0.7012
10 Ca 0.3165 0.4823 0.2988
11 Ca 0.9823 0.8165 0.2988
12 Ca 0.5000 0.5000 0.0000
13 Ca 0.4823 0.9823 0.2988
14 Ca 0.1835 0.6835 0.7012
15 Ca 0.0000 0.0000 0.0000
16 Ca 0.6835 0.5177 0.7012
17 H 0.2500 0.7500 0.5000
18 H 0.7500 0.2500 0.5000

- Crystal system: tetragonal
- Size of the total moment: 1.9 μB per cell
- Final energy: -12.812 eV per atom

***

# 11
Density functional theory data (SCAN) for a PBEsol-optimized structure of BeIrPb2.

Unit cell a=3.7026 b=4.5668 c=5.1595 alpha=97.43 beta=90.00 gamma=113.91
Fractional positions:
1 Pb 0.7683 0.5366 0.7546
2 Pb 0.2317 0.4634 0.2454
3 Be 0.0000 0.0000 0.5000
4 Ir 0.5000 0.0000 0.0000

- Crystal system: monoclinic
- Size of the total moment: 0.0 μB per cell
- Final energy: -56.111 eV per atom

***

# 12
Density functional theory data (SCAN) for a PBEsol-optimized structure of CsSn2Ir2.

Unit cell a=3.9658 b=3.9658 c=9.0641 alpha=102.64 beta=102.64 gamma=90.00
Fractional positions:
1 Sn 0.3513 0.3513 0.7027
2 Sn 0.6487 0.6487 0.2973
3 Cs 0.0000 0.0000 0.0000
4 Ir 0.2500 0.7500 0.5000
5 Ir 0.7500 0.2500 0.5000

- Crystal system: tetragonal
- Size of the total moment: 0.0 μB per cell
- Final energy: -50.493 eV per atom

***

# 13
Density functional theory data (SCAN) for a PBEsol-optimized structure of YTeO2.

Unit cell a=3.9144 b=3.9144 c=6.0143 alpha=71.01 beta=71.01 gamma=60.00
Fractional positions:
1 O 0.8717 0.8717 0.3849
2 O 0.1283 0.1283 0.6151
3 Y 0.0000 0.0000 0.0000
4 Te 0.5000 0.5000 0.5000

- Crystal system: trigonal
- Size of the total moment: 0.0 μB per cell
- Formation energy from raw total energies: -1.130 eV/atom

***

# 14
Density functional theory data (SCAN) for a PBEsol-optimized structure of ZnFe3As.

Unit cell a=4.3266 b=4.3266 c=4.3266 alpha=90.00 beta=90.00 gamma=90.00
Fractional positions:
1 Fe 0.5000 0.0000 0.0000
2 Fe 0.0000 0.0000 0.5000
3 Fe 0.0000 0.5000 0.0000
4 Zn 0.0000 0.0000 0.0000
5 As 0.5000 0.5000 0.5000

- Crystal system: cubic
- Size of the total moment: 8.9 μB per cell
- Final energy: -16.567 eV per atom

***

# 15
Density functional theory data (SCAN) for a PBEsol-optimized structure of La2MgZn.

Unit cell a=3.5456 b=4.8132 c=6.5487 alpha=90.00 beta=105.71 gamma=90.00
Fractional positions:
1 La 0.7057 0.5000 0.2868
2 La 0.0400 0.0000 0.9544
3 Zn 0.4372 0.5000 0.7492
4 Mg 0.3171 0.0000 0.5097

- Energy above the lowest structure with this stoichiometry: 0.092 eV/atom
- Crystal system: orthorhombic
- Size of the total moment: 0.0 μB per cell

***

# 16
Density functional theory data (SCAN) for a PBEsol-optimized structure of ZnTc2Os.

Unit cell a=2.7082 b=2.7082 c=8.9175 alpha=81.27 beta=81.27 gamma=60.00
Fractional positions:
1 Tc 0.7485 0.7485 0.7544
2 Tc 0.2515 0.2515 0.2456
3 Os 0.0000 0.0000 0.0000
4 Zn 0.5000 0.5000 0.5000

- Crystal system: trigonal
- Size of the total moment: 0.0 μB per cell
- Final energy: -38.816 eV per atom

***

# 17
Density functional theory data (SCAN) for a PBEsol-optimized structure of TcCl4.

Unit cell a=5.1616 b=5.1616 c=5.1616 alpha=109.47 beta=109.47 gamma=109.47
Fractional positions:
1 Cl 0.5000 0.5000 0.5000
2 Cl 0.0000 0.0000 0.5000
3 Cl 0.5000 0.0000 0.0000
4 Cl 0.0000 0.5000 0.0000
5 Tc 0.0000 0.0000 0.0000

- Energy above the lowest structure with this stoichiometry: 0.866 eV/atom
- Crystal system: cubic
- Size of the total moment: 3.8 μB per cell
- Formation energy from raw total energies: -0.013 eV/atom

***

# 18
Density functional theory data (SCAN) for a PBEsol-optimized structure of AlNiN2.

Unit cell a=2.8698 b=2.8698 c=5.8877 alpha=75.89 beta=75.89 gamma=60.00
Fractional positions:
1 N 0.1023 0.1023 0.6930
2 N 0.8977 0.8977 0.3070
3 Ni 0.0000 0.0000 0.0000
4 Al 0.5000 0.5000 0.5000

- Crystal system: trigonal
- Size of the total moment: 0.0 μB per cell
- Formation energy from raw total energies: -0.041 eV/atom

***

# 19
Density functional theory data (SCAN) for a PBEsol-optimized structure of YCoAu4.

Unit cell a=5.3789 b=5.3789 c=5.3789 alpha=60.00 beta=60.00 gamma=60.00
Fractional positions:
1 Au 0.8733 0.3756 0.3756
2 Au 0.3756 0.3756 0.3756
3 Au 0.3756 0.8733 0.3756
4 Au 0.3756 0.3756 0.8733
5 Co 0.7500 0.7500 0.7500
6 Y 0.0000 0.0000 0.0000

- Crystal system: cubic
- Size of the total moment: 1.8 μB per cell
- Final energy: -53.968 eV per atom

***

# 20
Density functional theory data (SCAN) for a PBEsol-optimized structure of LiTaFe4.

Unit cell a=4.6605 b=4.6605 c=4.6605 alpha=60.00 beta=60.00 gamma=60.00
Fractional positions:
1 Li 0.7500 0.7500 0.7500
2 Fe 0.8732 0.3756 0.3756
3 Fe 0.3756 0.3756 0.8732
4 Fe 0.3756 0.8732 0.3756
5 Fe 0.3756 0.3756 0.3756
6 Ta 0.0000 0.0000 0.0000

- Crystal system: cubic
- Size of the total moment: 6.1 μB per cell
- Final energy: -23.523 eV per atom

***

# 21
Density functional theory data (SCAN) for a PBEsol-optimized structure of Ba5Ir.

Unit cell a=4.0112 b=7.5477 c=10.1395 alpha=70.82 beta=78.59 gamma=74.59
Fractional positions:
1 Ba 0.3877 0.3326 0.8920
2 Ba 0.6123 0.6674 0.1080
3 Ba 0.3372 0.0602 0.2653
4 Ba 0.0000 0.5000 0.5000
5 Ba 0.6628 0.9398 0.7347
6 Ir 0.0000 0.0000 0.0000

- Energy above the lowest structure with this stoichiometry: 0.000 eV/atom
- Crystal system: monoclinic
- Size of the total moment: 0.3 μB per cell

***

# 22
Density functional theory data (SCAN) for a PBEsol-optimized structure of YTcAu2.

Unit cell a=4.6864 b=4.6864 c=4.6864 alpha=60.00 beta=60.00 gamma=60.00
Fractional positions:
1 Y 0.7500 0.7500 0.7500
2 Au 0.0000 0.0000 0.0000
3 Au 0.2500 0.2500 0.2500
4 Tc 0.5000 0.5000 0.5000

- Crystal system: cubic
- Size of the total moment: 3.0 μB per cell
- Final energy: -50.374 eV per atom

***

# 23
Density functional theory data (SCAN) for a PBEsol-optimized structure of KLiHg2.

Unit cell a=4.8305 b=4.8305 c=6.5510 alpha=68.37 beta=68.37 gamma=60.00
Fractional positions:
1 Hg 0.8067 0.8067 0.5799
2 Hg 0.1933 0.1933 0.4201
3 Li 0.5000 0.5000 0.5000
4 K 0.0000 0.0000 0.0000

- Energy above the lowest structure with this stoichiometry: 0.003 eV/atom
- Crystal system: trigonal
- Size of the total moment: 0.0 μB per cell

***

# 24
Density functional theory data (SCAN) for a PBEsol-optimized structure of Cr3GeC.

Unit cell a=2.8431 b=5.2514 c=7.5629 alpha=90.00 beta=90.00 gamma=105.71
Fractional positions:
1 Cr 0.1259 0.2519 0.0463
2 Cr 0.5297 0.0594 0.7500
3 Cr 0.1259 0.2519 0.4537
4 Cr 0.4703 0.9406 0.2500
5 Cr 0.8741 0.7481 0.9537
6 Cr 0.8741 0.7481 0.5463
7 Ge 0.7620 0.5240 0.2500
8 Ge 0.2380 0.4760 0.7500
9 C 0.5000 0.0000 0.5000
10 C 0.5000 0.0000 0.0000

- Crystal system: orthorhombic
- Size of the total moment: 2.0 μB per cell
- Final energy: -16.992 eV per atom

***

# 25
Density functional theory data (SCAN) for a PBEsol-optimized structure of LiZr2P.

Unit cell a=5.5268 b=5.8549 c=5.8549 alpha=77.13 beta=61.84 gamma=61.84
Fractional positions:
1 Li 0.2500 0.5000 0.5000
2 Li 0.5000 0.0000 0.0000
3 P 0.7500 0.5000 0.5000
4 P 0.0000 0.0000 0.0000
5 Zr 0.6511 0.9739 0.4739
6 Zr 0.0989 0.0261 0.5261
7 Zr 0.8750 0.4739 0.0261
8 Zr 0.3750 0.5261 0.9739

- Crystal system: tetragonal
- Size of the total moment: 0.0 μB per cell
- Final energy: -18.841 eV per atom

***

# 26
Density functional theory data (SCAN) for a PBEsol-optimized structure of TmMg2.

Unit cell a=5.1612 b=5.1612 c=3.1948 alpha=90.00 beta=90.00 gamma=120.00
Fractional positions:
1 Mg 0.3333 0.6667 0.5000
2 Mg 0.6667 0.3333 0.5000
3 Tm 0.0000 0.0000 0.0000

- Crystal system: hexagonal
- Size of the total moment: 0.1 μB per cell
- Final energy: -20.640 eV per atom

***

# 27
Density functional theory data (SCAN) for a PBEsol-optimized structure of TaNi6Rh.

Unit cell a=6.2182 b=6.2182 c=10.1594 alpha=90.00 beta=90.00 gamma=109.67
Fractional positions:
1 Ni 0.7495 0.2505 0.2481
2 Ni 0.6269 0.8756 0.8749
3 Ni 0.7495 0.2505 0.7519
4 Ni 0.2505 0.7495 0.7519
5 Ni 0.3734 0.1239 0.3749
6 Ni 0.8756 0.6269 0.8749
7 Ni 0.6266 0.8761 0.6251
8 Ni 0.3731 0.1244 0.8749
9 Ni 0.0000 0.0000 0.0000
10 Ni 0.5000 0.5000 0.5000
11 Ni 0.0000 0.0000 0.5000
12 Ni 0.1244 0.3731 0.8749
13 Ni 0.8761 0.6266 0.6251
14 Ni 0.1239 0.3734 0.3749
15 Ni 0.2505 0.7495 0.2481
16 Ni 0.6269 0.8756 0.1251
17 Ni 0.3731 0.1244 0.1251
18 Ni 0.5000 0.5000 0.0000
19 Ni 0.1239 0.3734 0.6251
20 Ni 0.3734 0.1239 0.6251
21 Ni 0.1244 0.3731 0.1251
22 Ni 0.8761 0.6266 0.3749
23 Ni 0.8756 0.6269 0.1251
24 Ni 0.6266 0.8761 0.3749
25 Rh 0.0000 0.0000 0.7447
26 Rh 0.7435 0.2565 0.5000
27 Rh 0.0000 0.0000 0.2553
28 Rh 0.2565 0.7435 0.5000
29 Ta 0.5000 0.5000 0.7459
30 Ta 0.5000 0.5000 0.2541
31 Ta 0.7476 0.2524 0.0000
32 Ta 0.2524 0.7476 0.0000

- Crystal system: orthorhombic
- Size of the total moment: 8.0 μB per cell
- Final energy: -24.776 eV per atom